Record 1
Compound: RbDyAgI5
Source: Alexandria via LeMat-Bulk
Functional: GGA-PBE
Structure: optimized geometry

```
data_RbDyAgI5
_chemical_formula_sum 'Rb4 Dy4 Ag4 I20'
_cell_length_a 10.113
_cell_length_b 13.727
_cell_length_c 11.505
_cell_angle_alpha 90.00
_cell_angle_beta 111.95
_cell_angle_gamma 90.00
_space_group_name_H-M_alt 'C 1 2/c 1'
_space_group_IT_number 15
loop_
_space_group_symop_operation_xyz
'x,y,z'
'-x,-y,-z'
'-x,y,-z+1/2'
'x,-y,z+1/2'
'x+1/2,y+1/2,z'
'-x+1/2,-y+1/2,-z'
'-x+1/2,y+1/2,-z+1/2'
'x+1/2,-y+1/2,z+1/2'
loop_
_atom_site_label
_atom_site_type_symbol
_atom_site_fract_x
_atom_site_fract_y
_atom_site_fract_z
Rb1 Rb 0.000 0.145 0.250
Dy1 Dy 0.000 0.500 0.000
Ag1 Ag 0.000 0.190 0.750
I1 I 0.000 0.423 0.250
I2 I 0.115 0.300 0.601
I3 I 0.195 0.067 0.942
```

Computed properties:
Its size of the total moment is 0.0 μB/f.u. The uncorrected energy is -3.142 eV/atom. For the uncorrected formation energy, the calculation gives -8.96 eV per formula unit.

=====

Record 2
Compound: Rb2DyAg2I6
Source: Alexandria via LeMat-Bulk
Functional: GGA-PBE
Structure: optimized geometry

```
data_Rb2DyAg2I6
_chemical_formula_sum 'Rb4 Dy2 Ag4 I12'
_cell_length_a 13.686
_cell_length_b 9.418
_cell_length_c 8.712
_cell_angle_alpha 90.00
_cell_angle_beta 117.24
_cell_angle_gamma 90.00
_space_group_name_H-M_alt 'C 1 2/m 1'
_space_group_IT_number 12
loop_
_space_group_symop_operation_xyz
'x,y,z'
'-x,-y,-z'
'-x,y,-z'
'x,-y,z'
'x+1/2,y+1/2,z'
'-x+1/2,-y+1/2,-z'
'-x+1/2,y+1/2,-z'
'x+1/2,-y+1/2,z'
loop_
_atom_site_label
_atom_site_type_symbol
_atom_site_fract_x
_atom_site_fract_y
_atom_site_fract_z
Rb1 Rb 0.214 0.000 0.176
Dy1 Dy 0.000 0.000 0.500
Ag1 Ag 0.036 0.500 0.375
I1 I 0.038 0.222 0.777
I2 I 0.246 0.000 0.621
```

Computed properties:
Its size of the total moment is 0.0 μB/f.u. The uncorrected energy is -2.908 eV/atom. For the uncorrected formation energy, the calculation gives -10.44 eV per formula unit.

=====

Record 3
Compound: RbDyAg2I6
Source: Alexandria via LeMat-Bulk
Functional: GGA-PBE
Structure: optimized geometry

```
data_RbDyAg2I6
_chemical_formula_sum 'Rb4 Dy4 Ag8 I24'
_cell_length_a 16.678
_cell_length_b 14.161
_cell_length_c 9.003
_cell_angle_alpha 90.00
_cell_angle_beta 112.88
_cell_angle_gamma 90.00
_space_group_name_H-M_alt 'C 1 2/c 1'
_space_group_IT_number 15
loop_
_space_group_symop_operation_xyz
'x,y,z'
'-x,-y,-z'
'-x,y,-z+1/2'
'x,-y,z+1/2'
'x+1/2,y+1/2,z'
'-x+1/2,-y+1/2,-z'
'-x+1/2,y+1/2,-z+1/2'
'x+1/2,-y+1/2,z+1/2'
loop_
_atom_site_label
_atom_site_type_symbol
_atom_site_fract_x
_atom_site_fract_y
_atom_site_fract_z
Rb1 Rb 0.000 0.166 0.250
Dy1 Dy 0.000 0.178 0.750
Ag1 Ag 0.061 0.453 0.147
I1 I 0.117 0.062 0.665
I2 I 0.122 0.276 0.029
I3 I 0.127 0.413 0.486
```

Computed properties:
Its size of the total moment is 0.0 μB/f.u. The uncorrected energy is -2.940 eV/atom. For the uncorrected formation energy, the calculation gives -8.83 eV per formula unit.

=====

Record 4
Compound: Rb3DyAg2I8
Source: Alexandria via LeMat-Bulk
Functional: GGA-PBE
Structure: optimized geometry

```
data_Rb3DyAg2I8
_chemical_formula_sum 'Rb3 Dy1 Ag2 I8'
_cell_length_a 8.5265
_cell_length_b 8.5265
_cell_length_c 10.6675
_cell_angle_alpha 90.00
_cell_angle_beta 90.00
_cell_angle_gamma 120.00
_space_group_name_H-M_alt 'P -3 m 1'
_space_group_IT_number 164
_space_group_name_Hall '-P 3 2"'
loop_
_atom_site_label
_atom_site_type_symbol
_atom_site_fract_x
_atom_site_fract_y
_atom_site_fract_z
Rb1 Rb 0.0000 0.0000 0.0000
Rb2 Rb 0.3333 0.6667 0.6075
Dy1 Dy 0.0000 0.0000 0.5000
Ag1 Ag 0.3333 0.6667 0.1867
I1 I 0.1634 0.3269 0.3294
I2 I 0.3333 0.6667 0.9353
```

Computed properties:
Its size of the total moment is 0.0 μB/f.u. The uncorrected energy is -2.876 eV/atom. For the uncorrected formation energy, the calculation gives -14.66 eV per formula unit.

=====

Record 5
Compound: DyTlAg2I6
Source: Alexandria via LeMat-Bulk
Functional: GGA-PBE
Structure: optimized geometry

```
data_DyTlAg2I6
_chemical_formula_sum 'Dy3 Tl3 Ag6 I18'
_cell_length_a 8.0308
_cell_length_b 8.0308
_cell_length_c 23.6015
_cell_angle_alpha 90.00
_cell_angle_beta 90.00
_cell_angle_gamma 120.00
_space_group_name_H-M_alt 'R -3'
_space_group_IT_number 148
_space_group_name_Hall '-R 3'
loop_
_atom_site_label
_atom_site_type_symbol
_atom_site_fract_x
_atom_site_fract_y
_atom_site_fract_z
Dy1 Dy 0.0000 0.0000 0.0000
Tl1 Tl 0.0000 0.0000 0.5000
Ag1 Ag 0.0000 0.0000 0.2687
I1 I 0.0039 0.6949 0.9241
```

Computed properties:
Its size of the total moment is 0.0 μB/f.u. The uncorrected energy is -2.950 eV/atom. For the uncorrected formation energy, the calculation gives -7.53 eV per formula unit.

=====

Record 6
Compound: DyInAg2
Source: Alexandria via LeMat-Bulk
Functional: GGA-PBE
Structure: optimized geometry

```
data_DyInAg2
_chemical_formula_sum 'Dy4 In4 Ag8'
_cell_length_a 6.996
_cell_length_b 6.996
_cell_length_c 6.996
_cell_angle_alpha 90.00
_cell_angle_beta 90.00
_cell_angle_gamma 90.00
_space_group_name_H-M_alt 'F m -3 m'
_space_group_IT_number 225
_space_group_name_Hall '-F 4 2 3'
loop_
_atom_site_label
_atom_site_type_symbol
_atom_site_fract_x
_atom_site_fract_y
_atom_site_fract_z
Dy1 Dy 0.000 0.000 0.000
In1 In 0.000 0.000 0.500
Ag1 Ag 0.250 0.250 0.250
```

Computed properties:
As for the formation energy: -362 meV per atom. Its size of the total moment is 0.0 μB/f.u. The uncorrected energy is -3.622 eV/atom.

=====

Record 7
Compound: DyIn2Ag
Source: Alexandria via LeMat-Bulk
Functional: GGA-PBE
Structure: optimized geometry

```
data_DyIn2Ag
_chemical_formula_sum 'Dy1 In2 Ag1'
_cell_length_a 4.635
_cell_length_b 4.635
_cell_length_c 4.376
_cell_angle_alpha 90.00
_cell_angle_beta 90.00
_cell_angle_gamma 90.00
_space_group_name_H-M_alt 'P 4/m m m'
_space_group_IT_number 123
_space_group_name_Hall '-P 4 2'
loop_
_atom_site_label
_atom_site_type_symbol
_atom_site_fract_x
_atom_site_fract_y
_atom_site_fract_z
Dy1 Dy 0.000 0.000 0.000
In1 In 0.000 0.500 0.500
Ag1 Ag 0.500 0.500 0.000
```

Computed properties:
As for the formation energy: -335 meV per atom. Its size of the total moment is 0.0 μB/f.u. The uncorrected energy is -3.568 eV/atom.

=====

Record 8
Compound: Dy6In2Ag
Source: Alexandria via LeMat-Bulk
Functional: GGA-PBE
Structure: optimized geometry

```
data_Dy6In2Ag
_chemical_formula_sum 'Dy12 In4 Ag2'
_cell_length_a 9.966
_cell_length_b 9.966
_cell_length_c 5.058
_cell_angle_alpha 90.00
_cell_angle_beta 90.00
_cell_angle_gamma 90.00
_space_group_name_H-M_alt 'P 42/m n m'
_space_group_IT_number 136
_space_group_name_Hall '-P 4n 2n'
loop_
_atom_site_label
_atom_site_type_symbol
_atom_site_fract_x
_atom_site_fract_y
_atom_site_fract_z
Dy1 Dy 0.023 0.321 0.000
Dy2 Dy 0.124 0.876 0.500
In1 In 0.202 0.202 0.500
Ag1 Ag 0.000 0.000 0.000
```

Computed properties:
As for the formation energy: -267 meV per atom. Its size of the total moment is 0.0 μB/f.u. The uncorrected energy is -4.260 eV/atom.

=====

Record 9
Compound: Dy11In9Ag4
Source: Alexandria via LeMat-Bulk
Functional: GGA-PBE
Structure: optimized geometry

```
data_Dy11In9Ag4
_chemical_formula_sum 'Dy22 In18 Ag8'
_cell_length_a 14.737
_cell_length_b 22.228
_cell_length_c 3.731
_cell_angle_alpha 90.00
_cell_angle_beta 90.00
_cell_angle_gamma 90.00
_space_group_name_H-M_alt 'C m m m'
_space_group_IT_number 65
_space_group_name_Hall '-C 2 2'
loop_
_atom_site_label
_atom_site_type_symbol
_atom_site_fract_x
_atom_site_fract_y
_atom_site_fract_z
Dy1 Dy 0.000 0.000 0.000
Dy2 Dy 0.000 0.161 0.000
Dy3 Dy 0.000 0.368 0.000
Dy4 Dy 0.200 0.500 0.000
Dy5 Dy 0.237 0.174 0.000
In1 In 0.000 0.500 0.500
In2 In 0.106 0.262 0.500
In3 In 0.142 0.073 0.500
Ag1 Ag 0.152 0.400 0.500
```

Computed properties:
As for the formation energy: -436 meV per atom. Its size of the total moment is 0.0 μB/f.u. The uncorrected energy is -4.047 eV/atom.

=====

Record 10
Compound: Dy3In4Ag2
Source: Alexandria via LeMat-Bulk
Functional: GGA-PBE
Structure: optimized geometry

```
data_Dy3In4Ag2
_chemical_formula_sum 'Dy6 In8 Ag4'
_cell_length_a 11.056
_cell_length_b 4.877
_cell_length_c 9.176
_cell_angle_alpha 90.00
_cell_angle_beta 117.56
_cell_angle_gamma 90.00
_space_group_name_H-M_alt 'C 1 2/m 1'
_space_group_IT_number 12
loop_
_space_group_symop_operation_xyz
'x,y,z'
'-x,-y,-z'
'-x,y,-z'
'x,-y,z'
'x+1/2,y+1/2,z'
'-x+1/2,-y+1/2,-z'
'-x+1/2,y+1/2,-z'
'x+1/2,-y+1/2,z'
loop_
_atom_site_label
_atom_site_type_symbol
_atom_site_fract_x
_atom_site_fract_y
_atom_site_fract_z
Dy1 Dy 0.000 0.000 0.000
Dy2 Dy 0.169 0.500 0.658
In1 In 0.044 0.000 0.374
In2 In 0.236 0.500 0.077
Ag1 Ag 0.105 0.500 0.275
```

Computed properties:
As for the formation energy: -418 meV per atom. Its size of the total moment is 0.0 μB/f.u. The uncorrected energy is -3.803 eV/atom.

=====

Record 11
Compound: Dy3In4Ag4
Source: Alexandria via LeMat-Bulk
Functional: GGA-PBE
Structure: optimized geometry

```
data_Dy3In4Ag4
_chemical_formula_sum 'Dy6 In8 Ag8'
_cell_length_a 4.521
_cell_length_b 7.562
_cell_length_c 15.280
_cell_angle_alpha 90.00
_cell_angle_beta 90.00
_cell_angle_gamma 90.00
_space_group_name_H-M_alt 'I m m m'
_space_group_IT_number 71
_space_group_name_Hall '-I 2 2'
loop_
_atom_site_label
_atom_site_type_symbol
_atom_site_fract_x
_atom_site_fract_y
_atom_site_fract_z
Dy1 Dy 0.000 0.000 0.000
Dy2 Dy 0.000 0.500 0.126
In1 In 0.000 0.000 0.217
In2 In 0.000 0.192 0.500
Ag1 Ag 0.000 0.303 0.328
```

Computed properties:
As for the formation energy: -286 meV per atom. Its size of the total moment is 0.0 μB/f.u. The uncorrected energy is -3.574 eV/atom.

=====

Record 12
Compound: Dy2In9Ag
Source: Alexandria via LeMat-Bulk
Functional: GGA-PBE
Structure: optimized geometry

```
data_Dy2In9Ag
_chemical_formula_sum 'Dy2 In9 Ag1'
_cell_length_a 4.636
_cell_length_b 4.636
_cell_length_c 13.737
_cell_angle_alpha 90.00
_cell_angle_beta 90.00
_cell_angle_gamma 90.00
_space_group_name_H-M_alt 'P 4/m m m'
_space_group_IT_number 123
_space_group_name_Hall '-P 4 2'
loop_
_atom_site_label
_atom_site_type_symbol
_atom_site_fract_x
_atom_site_fract_y
_atom_site_fract_z
Dy1 Dy 0.000 0.000 0.169
In1 In 0.000 0.500 0.000
In2 In 0.000 0.500 0.343
In3 In 0.500 0.500 0.165
In4 In 0.500 0.500 0.500
Ag1 Ag 0.000 0.000 0.500
```

Computed properties:
As for the formation energy: -234 meV per atom. Its size of the total moment is 0.0 μB/f.u. The uncorrected energy is -3.293 eV/atom.

=====

Question: Look up the size of the total moment of the eighth one.
Answer: 0.0 μB/f.u.